1.
VASP calculation (GGA-PBE) on an optimized crystal structure of LaNi6P3.

Values from the calculation:
**Energy relative to the elements**: -0.506 eV/atom

a b c (Å): 6.3313 6.0085 9.3317
angles (deg): 90.00 126.01 90.00
Space group P2_1/c (No. 14)
Symmetry-distinct sites (fractional):
1 La 0.0000 0.0000 0.0000 [2 per cell]
2 Ni 0.1259 0.0218 0.7159 [4 per cell]
3 Ni 0.3587 0.1525 0.3967 [4 per cell]
4 Ni 0.4940 0.7483 0.2972 [4 per cell]
5 P 0.2588 0.5441 0.0454 [4 per cell]
6 P 0.5000 0.0000 0.0000 [2 per cell]

***

2.
VASP calculation (GGA-PBE) on an optimized crystal structure of ScTi2InH.

Values from the calculation:
**Calculated total energy**: -5.9325 eV/atom

a b c (Å): 4.2322 4.2322 4.3556
angles (deg): 90.00 90.00 90.00
Space group P4/mmm (No. 123)
Symmetry-distinct sites (fractional):
1 Sc 0.0000 0.0000 0.0000 [1 per cell]
2 Ti 0.0000 0.5000 0.5000 [2 per cell]
3 In 0.5000 0.5000 0.0000 [1 per cell]
4 H 0.0000 0.0000 0.5000 [1 per cell]

***

3.
VASP calculation (GGA-PBE) on an optimized crystal structure of U2Pa.

Values from the calculation:
**Energy relative to the elements**: 0.191 eV/atom
**Excess energy over the best structure of this formula in the dataset**: 0.32 eV/f.u.

a b c (Å): 3.3366 3.3366 11.8213
angles (deg): 90.00 90.00 90.00
Space group I4/mmm (No. 139)
Symmetry-distinct sites (fractional):
1 U 0.0000 0.0000 0.1830 [4 per cell]
2 Pa 0.0000 0.0000 0.5000 [2 per cell]

***

4.
VASP calculation (GGA-PBE) on an optimized crystal structure of Ba2RhN.

Values from the calculation:
**Raw formation energy**: 319.0 meV/atom

a b c (Å): 7.3602 7.3602 8.3728
angles (deg): 90.00 90.00 90.00
Space group I-42d (No. 122)
Symmetry-distinct sites (fractional):
1 Ba 0.2069 0.2500 0.1250 [8 per cell]
2 Rh 0.0000 0.0000 0.5000 [4 per cell]
3 N 0.0000 0.0000 0.0000 [4 per cell]

***

| no. | Fermi-level density of states (states/eV per cell) |
| --- | --- |
| 1 | 12.2 |
| 2 | 3.5 |
| 3 | 16.6 |
| 4 | 20.2 |